The following is a DFT calculation (PBE-GGA) of a relaxed La2ZrMo2 crystal.

Cell lengths 7.121, 7.121, 4.982 Å; angles 90.00, 90.00, 90.00 degrees
Fractional positions:
La (0.179, 0.321, 0.000)
La (0.321, 0.821, 0.000)
La (0.679, 0.179, 0.000)
La (0.821, 0.679, 0.000)
Zr (0.000, 0.000, 0.500)
Zr (0.500, 0.500, 0.500)
Mo (0.120, 0.620, 0.500)
Mo (0.380, 0.120, 0.500)
Mo (0.620, 0.880, 0.500)
Mo (0.880, 0.380, 0.500)

Computed properties:
- Energy relative to the elements: 2.0 eV/f.u.
- Symmetry: P4/mbm, No. 127



The following is a DFT calculation (PBE-GGA) of a relaxed ZrNbGe crystal.

Cell lengths 4.792, 4.792, 2.908 Å; angles 90.00, 90.00, 120.00 degrees
Fractional positions:
Zr (0.000, 0.000, 0.000)
Nb (0.667, 0.333, 0.500)
Ge (0.333, 0.667, 0.501)

Computed properties:
- Energy relative to the elements: -0.3 eV/f.u.
- Symmetry: P3m1, No. 156



The following is a DFT calculation (PBE-GGA) of a relaxed UZnPN crystal.

Cell lengths 10.318, 10.318, 10.318 Å; angles 21.68, 21.68, 21.68 degrees
Fractional positions:
U (0.121, 0.121, 0.121)
U (0.879, 0.879, 0.879)
Zn (0.304, 0.304, 0.304)
Zn (0.696, 0.696, 0.696)
P (0.389, 0.389, 0.389)
P (0.611, 0.611, 0.611)
N (0.195, 0.195, 0.195)
N (0.805, 0.805, 0.805)

Computed properties:
- Symmetry: R-3m, No. 166
- E_form (uncorrected): -86.5 kJ per mole of atoms



The following is a DFT calculation (PBE-GGA) of a relaxed Nd4HoCd crystal.

Cell lengths 8.519, 8.519, 6.423 Å; angles 100.12, 100.12, 116.52 degrees
Fractional positions:
Nd (0.093, 0.711, 0.954)
Nd (0.169, 0.404, 0.624)
Nd (0.289, 0.907, 0.546)
Nd (0.404, 0.169, 0.124)
Nd (0.596, 0.831, 0.876)
Nd (0.711, 0.093, 0.454)
Nd (0.831, 0.596, 0.376)
Nd (0.907, 0.289, 0.046)
Ho (0.412, 0.588, 0.250)
Ho (0.588, 0.412, 0.750)
Cd (0.001, 0.999, 0.250)
Cd (0.999, 0.001, 0.750)

Computed properties:
- Energy relative to the elements: 0.0 eV/f.u.
- Symmetry: C2/c, No. 15



The following is a DFT calculation (PBE-GGA) of a relaxed Nd4DySn2 crystal.

Cell lengths 9.901, 9.901, 9.901 Å; angles 32.23, 32.23, 32.23 degrees
Fractional positions:
Nd (0.125, 0.125, 0.125)
Nd (0.280, 0.280, 0.280)
Nd (0.720, 0.720, 0.720)
Nd (0.875, 0.875, 0.875)
Dy (0.500, 0.500, 0.500)
Sn (0.393, 0.393, 0.393)
Sn (0.607, 0.607, 0.607)

Computed properties:
- Energy relative to the elements: -1.8 eV/f.u.
- Symmetry: R-3m, No. 166



The following is a DFT calculation (PBE-GGA) of a relaxed PuMnH6 crystal.

Cell lengths 4.036, 4.036, 4.049 Å; angles 96.02, 96.02, 96.15 degrees
Fractional positions:
Pu (0.000, 0.000, 0.000)
Mn (0.500, 0.500, 0.500)
H (0.188, 0.188, 0.543)
H (0.189, 0.544, 0.189)
H (0.456, 0.811, 0.811)
H (0.544, 0.189, 0.189)
H (0.811, 0.456, 0.811)
H (0.812, 0.812, 0.457)

Computed properties:
- Symmetry: C2/m, No. 12
- Calculated total energy: -5.54 eV/atom



- Which formula does entry 5 have?
  Nd4DySn2



- Which formula does entry 6 have?
  PuMnH6